## a
The following is a DFT calculation (PBEsol) of crystalline Mo2OsW at its relaxed geometry.

a = 3.1172 Å, b = 4.3973 Å, c = 8.8151 Å
α = 90.00°, β = 90.00°, γ = 90.00°
Space group Immm (No. 71)
Unique sites:
Mo1 0.0000 0.0000 0.2403 x4
Os1 0.0000 0.5000 0.0000 x2
W1 0.0000 0.5000 0.5000 x2

Calculated values
ρ = 15.6 Mg/m³
N(E_F) = 3.01 states/eV/f.u.
Crystal system = orthorhombic

---

## b
The following is a DFT calculation (PBEsol) of crystalline Mo2OsW at its relaxed geometry.

a = 3.1166 Å, b = 3.1166 Å, c = 6.2277 Å
α = 90.00°, β = 90.00°, γ = 90.00°
Space group P4mm (No. 99)
Unique sites:
Mo1 0.0000 0.0000 0.0000 x1
Mo2 0.5000 0.5000 0.2340 x1
Os1 0.0000 0.0000 0.5026 x1
W1 0.5000 0.5000 0.7489 x1

Calculated values
ρ = 15.5 Mg/m³
N(E_F) = 3.55 states/eV/f.u.
Crystal system = tetragonal

---

Tell me which of them is the most stable. Sure, it is a.

---

## a
The following is a DFT calculation (PBEsol) of crystalline ZrMoOs2 at its relaxed geometry.

a = 6.3300 Å, b = 6.3300 Å, c = 6.3300 Å
α = 90.00°, β = 90.00°, γ = 90.00°
Space group Fm-3m (No. 225)
Unique sites:
Zr1 0.0000 0.0000 0.0000 x4
Mo1 0.0000 0.0000 0.5000 x4
Os1 0.2500 0.2500 0.2500 x8

Calculated values
ρ = 14.9 Mg/m³
N(E_F) = 4.41 states/eV/f.u.
Crystal system = cubic

---

## b
The following is a DFT calculation (PBEsol) of crystalline ZrMoOs2 at its relaxed geometry.

a = 9.6301 Å, b = 2.8585 Å, c = 4.7300 Å
α = 90.00°, β = 100.75°, γ = 90.00°
Space group Cm (No. 8)
Unique sites:
Zr1 0.0000 0.0000 0.0000 x2
Mo1 0.2204 0.0000 0.6823 x2
Os1 0.2604 0.5000 0.2217 x2
Os2 0.4806 0.0000 0.4943 x2

Calculated values
ρ = 14.7 Mg/m³
N(E_F) = 3.30 states/eV/f.u.
Crystal system = monoclinic

---

Tell me which of them is the most stable. Sure, it is a.

---

## a
The following is a DFT calculation (PBEsol) of crystalline MoPRhS2 at its relaxed geometry.

a = 4.5645 Å, b = 4.5645 Å, c = 4.3706 Å
α = 90.00°, β = 90.00°, γ = 90.00°
Space group P4/mmm (No. 123)
Unique sites:
Mo1 0.0000 0.0000 0.0000 x1
P1 0.5000 0.5000 0.0000 x1
Rh1 0.5000 0.5000 0.5000 x1
S1 0.0000 0.5000 0.5000 x2

Calculated values
ρ = 5.4 Mg/m³
N(E_F) = 3.66 states/eV/f.u.
Crystal system = tetragonal

---

## b
The following is a DFT calculation (PBEsol) of crystalline MoPRhS2 at its relaxed geometry.

a = 4.4987 Å, b = 4.4987 Å, c = 4.6724 Å
α = 90.00°, β = 90.00°, γ = 90.00°
Space group P4/mmm (No. 123)
Unique sites:
Mo1 0.0000 0.0000 0.0000 x1
P1 0.0000 0.0000 0.5000 x1
Rh1 0.5000 0.5000 0.5000 x1
S1 0.0000 0.5000 0.0000 x2

Calculated values
ρ = 5.2 Mg/m³
N(E_F) = 5.39 states/eV/f.u.
Crystal system = tetragonal

---

Tell me which of them is the most stable. Sure, it is b.

---

## a
The following is a DFT calculation (PBEsol) of crystalline SiMoP2S at its relaxed geometry.

a = 4.3879 Å, b = 4.3879 Å, c = 4.3940 Å
α = 90.00°, β = 90.00°, γ = 90.00°
Space group P4/mmm (No. 123)
Unique sites:
Si1 0.0000 0.0000 0.0000 x1
Mo1 0.5000 0.5000 0.5000 x1
P1 0.0000 0.5000 0.0000 x2
S1 0.0000 0.0000 0.5000 x1

Calculated values
ρ = 4.3 Mg/m³
N(E_F) = 2.03 states/eV/f.u.
Crystal system = tetragonal

---

## b
The following is a DFT calculation (PBEsol) of crystalline SiMoP2S at its relaxed geometry.

a = 4.7031 Å, b = 4.7031 Å, c = 4.4800 Å
α = 90.00°, β = 90.00°, γ = 90.00°
Space group P4/mmm (No. 123)
Unique sites:
Si1 0.0000 0.0000 0.0000 x1
Mo1 0.5000 0.5000 0.5000 x1
P1 0.0000 0.5000 0.5000 x2
S1 0.5000 0.5000 0.0000 x1

Calculated values
ρ = 3.7 Mg/m³
N(E_F) = 4.56 states/eV/f.u.
Crystal system = tetragonal

---

Tell me which of them is the most stable. Sure, it is b.

---

## a
The following is a DFT calculation (PBEsol) of crystalline SiMoP2 at its relaxed geometry.

a = 4.2433 Å, b = 4.2433 Å, c = 5.9565 Å
α = 90.00°, β = 90.00°, γ = 90.00°
Space group I4/mmm (No. 139)
Unique sites:
Si1 0.0000 0.0000 0.0000 x2
Mo1 0.0000 0.0000 0.5000 x2
P1 0.0000 0.5000 0.2500 x4

Calculated values
ρ = 5.8 Mg/m³
N(E_F) = 1.80 states/eV/f.u.
Crystal system = tetragonal

---

## b
The following is a DFT calculation (PBEsol) of crystalline SiMoP2 at its relaxed geometry.

a = 3.6990 Å, b = 3.6990 Å, c = 7.8987 Å
α = 90.00°, β = 90.00°, γ = 90.00°
Space group I-4m2 (No. 119)
Unique sites:
Si1 0.0000 0.0000 0.0000 x2
Mo1 0.0000 0.5000 0.2500 x2
P1 0.0000 0.0000 0.5000 x2
P2 0.0000 0.5000 0.7500 x2

Calculated values
ρ = 5.7 Mg/m³
N(E_F) = 3.26 states/eV/f.u.
Crystal system = tetragonal

---

Tell me which of them is the most stable. Sure, it is a.

---

## a
The following is a DFT calculation (PBEsol) of crystalline SrMoP2 at its relaxed geometry.

a = 6.3409 Å, b = 7.1714 Å, c = 3.2730 Å
α = 90.00°, β = 104.73°, γ = 90.00°
Space group C2/m (No. 12)
Unique sites:
Sr1 0.0000 0.0000 0.0000 x2
Mo1 0.0000 0.5000 0.0000 x2
P1 0.2500 0.2500 0.5000 x4

Calculated values
ρ = 5.7 Mg/m³
N(E_F) = 2.71 states/eV/f.u.
Crystal system = monoclinic

---

## b
The following is a DFT calculation (PBEsol) of crystalline SrMoP2 at its relaxed geometry.

a = 3.2397 Å, b = 3.4549 Å, c = 13.7722 Å
α = 90.00°, β = 90.00°, γ = 90.00°
Space group Imm2 (No. 44)
Unique sites:
Sr1 0.0000 0.0000 0.0000 x2
Mo1 0.0000 0.5000 0.2528 x2
P1 0.0000 0.0000 0.6273 x2
P2 0.0000 0.5000 0.8199 x2

Calculated values
ρ = 5.3 Mg/m³
N(E_F) = 2.46 states/eV/f.u.
Crystal system = orthorhombic

---

Tell me which of them is the most stable. Sure, it is b.

---

## a
The following is a DFT calculation (PBEsol) of crystalline TlMo2P at its relaxed geometry.

a = 3.8974 Å, b = 3.8974 Å, c = 8.5066 Å
α = 90.00°, β = 90.00°, γ = 90.00°
Space group I-4m2 (No. 119)
Unique sites:
Tl1 0.0000 0.0000 0.0000 x2
Mo1 0.0000 0.0000 0.5000 x2
Mo2 0.0000 0.5000 0.2500 x2
P1 0.0000 0.5000 0.7500 x2

Calculated values
ρ = 11.0 Mg/m³
N(E_F) = 3.71 states/eV/f.u.
Crystal system = tetragonal

---

## b
The following is a DFT calculation (PBEsol) of crystalline TlMo2P at its relaxed geometry.

a = 3.4062 Å, b = 3.4062 Å, c = 20.8851 Å
α = 90.00°, β = 90.00°, γ = 120.00°
Space group R3m (No. 160, hexagonal axes)
Unique sites:
Tl1 0.0000 0.0000 0.0000 x3
Mo1 0.0000 0.0000 0.2243 x3
Mo2 0.0000 0.0000 0.4408 x3
P1 0.0000 0.0000 0.8324 x3

Calculated values
ρ = 10.1 Mg/m³
N(E_F) = 2.89 states/eV/f.u.
Crystal system = trigonal

---

## c
The following is a DFT calculation (PBEsol) of crystalline TlMo2P at its relaxed geometry.

a = 3.2875 Å, b = 4.2703 Å, c = 4.6923 Å
α = 90.00°, β = 90.00°, γ = 90.00°
Space group Pmmm (No. 47)
Unique sites:
Tl1 0.0000 0.0000 0.0000 x1
Mo1 0.0000 0.5000 0.5000 x1
Mo2 0.5000 0.5000 0.0000 x1
P1 0.5000 0.0000 0.5000 x1

Calculated values
ρ = 10.8 Mg/m³
N(E_F) = 3.32 states/eV/f.u.
Crystal system = orthorhombic

---

## d
The following is a DFT calculation (PBEsol) of crystalline TlMo2P at its relaxed geometry.

a = 5.9679 Å, b = 3.3781 Å, c = 7.6066 Å
α = 90.00°, β = 111.53°, γ = 90.00°
Space group C2/m (No. 12)
Unique sites:
Tl1 0.0000 0.0000 0.0000 x2
Mo1 0.2482 0.0000 0.6703 x4
P1 0.0000 0.5000 0.5000 x2

Calculated values
ρ = 9.9 Mg/m³
N(E_F) = 3.20 states/eV/f.u.
Crystal system = monoclinic

---

Tell me which of them is the most stable. Sure, it is b.

---

## a
The following is a DFT calculation (PBEsol) of crystalline Tl2MoP at its relaxed geometry.

a = 4.4359 Å, b = 4.4359 Å, c = 4.0367 Å
α = 90.00°, β = 90.00°, γ = 90.00°
Space group P4/mmm (No. 123)
Unique sites:
Tl1 0.0000 0.5000 0.0000 x2
Mo1 0.0000 0.0000 0.5000 x1
P1 0.5000 0.5000 0.5000 x1

Calculated values
ρ = 11.2 Mg/m³
N(E_F) = 3.32 states/eV/f.u.
Crystal system = tetragonal

---

## b
The following is a DFT calculation (PBEsol) of crystalline Tl2MoP at its relaxed geometry.

a = 4.8569 Å, b = 3.3988 Å, c = 4.8839 Å
α = 90.00°, β = 106.41°, γ = 90.00°
Space group P2/m (No. 10)
Unique sites:
Tl1 0.0000 0.0000 0.0000 x1
Tl2 0.5000 0.5000 0.0000 x1
Mo1 0.0000 0.5000 0.5000 x1
P1 0.5000 0.0000 0.5000 x1

Calculated values
ρ = 11.5 Mg/m³
N(E_F) = 3.63 states/eV/f.u.
Crystal system = monoclinic

---

Tell me which of them is the most stable. Sure, it is b.

---

## a
The following is a DFT calculation (PBEsol) of crystalline MoPW at its relaxed geometry.

a = 2.9339 Å, b = 2.9339 Å, c = 9.7719 Å
α = 90.00°, β = 90.00°, γ = 90.00°
Space group I4mm (No. 107)
Unique sites:
Mo1 0.0000 0.0000 0.0000 x2
P1 0.0000 0.0000 0.6460 x2
W1 0.0000 0.0000 0.2952 x2

Calculated values
ρ = 12.3 Mg/m³
N(E_F) = 2.24 states/eV/f.u.
Crystal system = tetragonal

---

## b
The following is a DFT calculation (PBEsol) of crystalline MoPW at its relaxed geometry.

a = 5.6976 Å, b = 5.6976 Å, c = 5.6976 Å
α = 90.00°, β = 90.00°, γ = 90.00°
Space group F-43m (No. 216)
Unique sites:
Mo1 0.0000 0.0000 0.0000 x4
P1 0.2500 0.2500 0.7500 x4
W1 0.0000 0.0000 0.5000 x4

Calculated values
ρ = 11.2 Mg/m³
N(E_F) = 3.69 states/eV/f.u.
Crystal system = cubic

---

Tell me which of them is the most stable. Sure, it is a.

---

## a
The following is a DFT calculation (PBEsol) of crystalline MoPb3 at its relaxed geometry.

a = 3.1667 Å, b = 4.7175 Å, c = 13.7539 Å
α = 90.00°, β = 90.00°, γ = 90.00°
Space group Immm (No. 71)
Unique sites:
Mo1 0.0000 0.0000 0.0000 x2
Pb1 0.0000 0.0000 0.5000 x2
Pb2 0.0000 0.5000 0.3147 x4

Calculated values
ρ = 11.6 Mg/m³
N(E_F) = 3.20 states/eV/f.u.
Crystal system = orthorhombic

---

## b
The following is a DFT calculation (PBEsol) of crystalline MoPb3 at its relaxed geometry.

a = 7.3246 Å, b = 7.3246 Å, c = 7.3246 Å
α = 90.00°, β = 90.00°, γ = 90.00°
Space group Fm-3m (No. 225)
Unique sites:
Mo1 0.0000 0.0000 0.0000 x4
Pb1 0.0000 0.0000 0.5000 x4
Pb2 0.2500 0.2500 0.2500 x8

Calculated values
ρ = 12.1 Mg/m³
N(E_F) = 2.98 states/eV/f.u.
Crystal system = cubic

---

Tell me which of them is the most stable. Sure, it is a.

---

## a
The following is a DFT calculation (PBEsol) of crystalline ScMoPb2 at its relaxed geometry.

a = 3.1780 Å, b = 4.7242 Å, c = 5.7604 Å
α = 90.00°, β = 95.42°, γ = 90.00°
Space group P2/m (No. 10)
Unique sites:
Sc1 0.0000 0.0000 0.0000 x1
Mo1 0.5000 0.0000 0.5000 x1
Pb1 0.3049 0.5000 0.7452 x2

Calculated values
ρ = 10.7 Mg/m³
N(E_F) = 3.55 states/eV/f.u.
Crystal system = monoclinic

---

## b
The following is a DFT calculation (PBEsol) of crystalline ScMoPb2 at its relaxed geometry.

a = 3.6892 Å, b = 4.5013 Å, c = 5.0962 Å
α = 90.00°, β = 90.00°, γ = 90.00°
Space group Pmmm (No. 47)
Unique sites:
Sc1 0.0000 0.0000 0.0000 x1
Mo1 0.5000 0.0000 0.5000 x1
Pb1 0.0000 0.5000 0.5000 x1
Pb2 0.5000 0.5000 0.0000 x1

Calculated values
ρ = 10.9 Mg/m³
N(E_F) = 3.32 states/eV/f.u.
Crystal system = orthorhombic

---

## c
The following is a DFT calculation (PBEsol) of crystalline ScMoPb2 at its relaxed geometry.

a = 6.2873 Å, b = 8.0955 Å, c = 3.4117 Å
α = 90.00°, β = 101.58°, γ = 90.00°
Space group C2/m (No. 12)
Unique sites:
Sc1 0.0000 0.0000 0.0000 x2
Mo1 0.0000 0.5000 0.0000 x2
Pb1 0.2500 0.2500 0.5000 x4

Calculated values
ρ = 10.8 Mg/m³
N(E_F) = 3.03 states/eV/f.u.
Crystal system = monoclinic

---

## d
The following is a DFT calculation (PBEsol) of crystalline ScMoPb2 at its relaxed geometry.

a = 4.7269 Å, b = 4.7269 Å, c = 7.3539 Å
α = 90.00°, β = 90.00°, γ = 90.00°
Space group I4/mmm (No. 139)
Unique sites:
Sc1 0.0000 0.0000 0.0000 x2
Mo1 0.0000 0.0000 0.5000 x2
Pb1 0.0000 0.5000 0.2500 x4

Calculated values
ρ = 11.2 Mg/m³
N(E_F) = 4.11 states/eV/f.u.
Crystal system = tetragonal

---

Tell me which of them is the most stable. Sure, it is d.

---

## a
The following is a DFT calculation (PBEsol) of crystalline TeMo2Pb at its relaxed geometry.

a = 6.7602 Å, b = 6.7602 Å, c = 6.7602 Å
α = 90.00°, β = 90.00°, γ = 90.00°
Space group F-43m (No. 216)
Unique sites:
Te1 0.0000 0.0000 0.0000 x4
Mo1 0.0000 0.0000 0.5000 x4
Mo2 0.2500 0.2500 0.2500 x4
Pb1 0.2500 0.2500 0.7500 x4

Calculated values
ρ = 11.3 Mg/m³
N(E_F) = 3.58 states/eV/f.u.
Crystal system = cubic

---

## b
The following is a DFT calculation (PBEsol) of crystalline TeMo2Pb at its relaxed geometry.

a = 3.3054 Å, b = 3.3054 Å, c = 6.7307 Å
α = 90.00°, β = 90.00°, γ = 90.00°
Space group P4/mmm (No. 123)
Unique sites:
Te1 0.0000 0.0000 0.0000 x1
Mo1 0.5000 0.5000 0.2311 x2
Pb1 0.0000 0.0000 0.5000 x1

Calculated values
ρ = 11.9 Mg/m³
N(E_F) = 3.41 states/eV/f.u.
Crystal system = tetragonal

---

## c
The following is a DFT calculation (PBEsol) of crystalline TeMo2Pb at its relaxed geometry.

a = 3.3353 Å, b = 4.2289 Å, c = 11.0650 Å
α = 90.00°, β = 90.00°, γ = 90.00°
Space group Imm2 (No. 44)
Unique sites:
Te1 0.0000 0.0000 0.0000 x2
Mo1 0.0000 0.0000 0.4300 x2
Mo2 0.0000 0.5000 0.6916 x2
Pb1 0.0000 0.5000 0.2492 x2

Calculated values
ρ = 11.2 Mg/m³
N(E_F) = 3.59 states/eV/f.u.
Crystal system = orthorhombic

---

Tell me which of them is the most stable. Sure, it is b.